Here is a geometry-optimized Al2SiRh structure from Alexandria. Energies are from PBE-GGA.

Cell lengths 2.984, 6.843, 6.203 Å; angles 103.00, 90.00, 90.00 degrees
Fractional positions:
Rh 0.750 0.791 0.658
Rh 0.250 0.209 0.342
Al 0.750 0.414 0.654
Al 0.250 0.586 0.346
Al 0.750 0.270 0.025
Si 0.250 0.082 0.692
Si 0.750 0.918 0.308
Al 0.250 0.730 0.975

Summary:
The density of states at the Fermi level comes out at 2.37 states/eV per cell. As for the calculated volume: 15.43 Å³/atom. The uncorrected formation energy comes out at -450 meV per atom. Its final energy is -5.51 eV per atom. The symmetry is P2_1/m, No. 11.

=====

Here is a geometry-optimized Al2SiRh structure from Alexandria. Energies are from PBE-GGA.

Cell lengths 4.352, 4.352, 4.352 Å; angles 60.00, 60.00, 60.00 degrees
Fractional positions:
Si 0.750 0.750 0.750
Al 0.250 0.250 0.250
Al 0.000 0.000 0.000
Rh 0.500 0.500 0.500

Summary:
The density of states at the Fermi level comes out at 2.00 states/eV per cell. As for the calculated volume: 14.57 Å³/atom. The uncorrected formation energy comes out at -196 meV per atom. Its final energy is -5.26 eV per atom. The symmetry is F-43m, No. 216.

=====

Here is a geometry-optimized AlSi2Rh structure from Alexandria. Energies are from PBE-GGA.

Cell lengths 3.710, 3.897, 3.897 Å; angles 90.00, 90.00, 90.00 degrees
Fractional positions:
Al 0.500 0.500 0.000
Si 0.000 0.000 0.000
Rh 0.500 0.000 0.500
Si 0.000 0.500 0.500

Summary:
The density of states at the Fermi level comes out at 2.20 states/eV per cell. As for the calculated volume: 14.08 Å³/atom. The uncorrected formation energy comes out at -80 meV per atom. Its final energy is -5.57 eV per atom. The symmetry is P4/mmm, No. 123.